No. 1
The following is a PBEsol calculation of an optimized crystal structure of V3ZnP3O13, from Alexandria.

```
40
Lattice="-6.109 0.974 -0.455 0.066 -2.750 -6.785 -1.839 -8.854 5.741" Properties=species:S:1:pos:R:3 pbc="T T T"
V -2.961 -8.626 0.144
V -4.921 -2.004 -1.643
V -2.523 -5.272 1.444
V 0.000 0.000 0.000
V -5.359 -5.358 -2.943
V -3.054 0.487 -0.227
Zn -6.149 -7.993 2.032
Zn -1.732 -2.637 -3.531
P -2.438 -6.538 -2.401
P -5.443 -4.092 0.903
P -1.932 -2.559 -0.672
P -5.949 -8.071 -0.826
P -4.773 -2.332 -4.322
P -3.108 -8.298 2.824
O -5.023 -3.397 -3.247
O -6.809 -4.802 0.892
O -2.174 -3.563 0.422
O -6.034 -2.182 -5.211
O -5.234 -3.412 -0.452
O -4.740 -0.444 -0.733
O -2.648 -7.218 -1.046
O -4.468 -8.030 3.518
O -2.523 -7.593 -3.524
O -5.358 -3.037 2.025
O -3.022 -2.473 -1.783
O -3.142 -10.186 -0.765
O -7.160 -7.790 0.113
O -4.634 -1.047 -3.441
O -5.707 -7.067 -1.920
O -1.847 -8.448 3.713
O -4.377 -5.190 1.073
O -1.072 -5.828 -2.391
O -0.721 -2.840 -1.612
O -2.858 -7.233 1.748
O -6.134 -9.510 -1.417
O -1.747 -1.120 -0.082
O -4.859 -8.157 0.284
O -3.414 -2.600 -5.016
O -3.504 -5.440 -2.572
O -3.247 -9.583 1.942
```

- magnetic moment (μB per cell) = 12.000
- E_form (uncorrected) (meV/atom) = -2118
- calculated total energy (eV/cell) = -316.9

***

No. 2
The following is a PBEsol calculation of an optimized crystal structure of VZnP2O7, from Alexandria.

```
22
Lattice="5.184 0.054 0.025 1.944 6.222 0.166 0.621 1.199 7.507" Properties=species:S:1:pos:R:3 pbc="T T T"
V 2.150 1.184 1.143
V 5.598 6.291 6.556
Zn 3.316 4.850 4.869
Zn 4.432 2.625 2.830
P 2.571 4.447 1.039
P 5.177 3.028 6.660
P 1.748 1.885 4.355
P 6.000 5.590 3.344
O 2.092 5.635 7.535
O 5.656 1.840 0.163
O 3.735 5.403 0.748
O 4.013 2.072 6.951
O 3.105 3.037 1.391
O 4.643 4.438 6.308
O 4.834 4.588 3.368
O 2.914 2.887 4.331
O 1.073 1.728 2.969
O 6.675 5.747 4.730
O 5.732 2.535 5.222
O 2.016 4.940 2.477
O 3.653 0.700 2.542
O 4.095 6.775 5.157
```

- magnetic moment (μB per cell) = 6.002
- E_form (uncorrected) (meV/atom) = -2000
- calculated total energy (eV/cell) = -163.1

***

No. 3
The following is a PBEsol calculation of an optimized crystal structure of VZnPO5, from Alexandria.

```
16
Lattice="5.404 0.080 0.000 -0.595 5.372 0.000 -2.180 -2.471 6.262" Properties=species:S:1:pos:R:3 pbc="T T T"
V 1.315 1.490 3.131
V 2.405 2.726 0.000
Zn 3.719 0.469 1.566
Zn -1.089 2.512 4.696
P -0.286 4.001 1.566
P 2.916 -1.020 4.696
O 0.837 3.972 0.513
O -0.117 2.890 2.618
O 1.792 -0.991 5.748
O 2.746 0.091 3.644
O 2.438 2.931 4.040
O -1.065 -1.039 5.353
O 0.192 0.049 2.222
O 3.694 4.020 0.909
O 0.312 1.276 4.696
O 2.317 1.705 1.566
```

- magnetic moment (μB per cell) = 4.000
- E_form (uncorrected) (meV/atom) = -2039
- calculated total energy (eV/cell) = -119.1

***

Question: Which formula does entry 2 have?
Answer: VZnP2O7